Material: CsSrB3
Method: DFT, PBEsol
State: relaxed

Calculated values
- E_form (eV/atom) = 2.402
- energy (hartree per atom) = -0.087

a b c (Å): 5.353 5.353 5.353
angles (deg): 90.00 90.00 90.00
Space group Pm-3m (No. 221)
Symmetry-distinct sites (fractional):
Cs 0.000 0.000 0.000 (multiplicity 1)
Sr 0.500 0.500 0.500 (multiplicity 1)
B 0.000 0.500 0.500 (multiplicity 3)

Material: La2BIr
Method: DFT, PBEsol
State: relaxed

Calculated values
- E_form (eV/atom) = 0.284
- energy (hartree per atom) = -0.243

a b c (Å): 7.278 7.278 6.996
angles (deg): 90.00 90.00 90.00
Space group I-42d (No. 122)
Symmetry-distinct sites (fractional):
La 0.240 0.250 0.125 (multiplicity 8)
B 0.000 0.000 0.000 (multiplicity 4)
Ir 0.000 0.000 0.500 (multiplicity 4)

Material: CaZn4Pt
Method: DFT, PBEsol
State: relaxed

Calculated values
- E_form (eV/atom) = -0.427
- energy (hartree per atom) = -0.110

a b c (Å): 7.149 7.149 7.149
angles (deg): 90.00 90.00 90.00
Space group F-43m (No. 216)
Symmetry-distinct sites (fractional):
Ca 0.000 0.000 0.000 (multiplicity 4)
Zn 0.124 0.124 0.624 (multiplicity 16)
Pt 0.250 0.250 0.250 (multiplicity 4)

Material: ZnRh5
Method: DFT, PBEsol
State: relaxed

Calculated values
- E_form (eV/atom) = -0.034
- energy (hartree per atom) = -0.260

a b c (Å): 4.6259 4.6259 4.3452
angles (deg): 90.00 90.00 120.00
Space group P-62m (No. 189)
Symmetry-distinct sites (fractional):
Zn 0.0000 0.0000 0.0000 (multiplicity 1)
Rh 0.0000 0.6655 0.5000 (multiplicity 3)
Rh 0.3333 0.6667 0.0000 (multiplicity 2)

Material: KLi4Mg
Method: DFT, PBEsol
State: relaxed

Calculated values
- E_form (eV/atom) = 0.098
- energy (hartree per atom) = -0.062

a b c (Å): 8.554 8.554 8.554
angles (deg): 90.00 90.00 90.00
Space group F-43m (No. 216)
Symmetry-distinct sites (fractional):
K 0.000 0.000 0.000 (multiplicity 4)
Li 0.123 0.123 0.377 (multiplicity 16)
Mg 0.250 0.250 0.750 (multiplicity 4)

Material: ScTaAu
Method: DFT, PBEsol
State: relaxed

Calculated values
- E_form (eV/atom) = 0.900
- energy (hartree per atom) = -0.250

a b c (Å): 6.330 6.330 6.330
angles (deg): 90.00 90.00 90.00
Space group F-43m (No. 216)
Symmetry-distinct sites (fractional):
Sc 0.000 0.000 0.000 (multiplicity 4)
Ta 0.250 0.250 0.250 (multiplicity 4)
Au 0.250 0.250 0.750 (multiplicity 4)

Material: Sc2InSe
Method: DFT, PBEsol
State: relaxed

Calculated values
- formation energy from raw total energies (eV per formula unit) = -4.19
- energy (hartree per atom) = -0.223
- excess energy over the best structure of this formula in the dataset (eV per atom) = 0.000

a b c (Å): 3.6231 3.6231 22.7791
angles (deg): 90.00 90.00 120.00
Space group R-3m (No. 166, hexagonal axes)
Symmetry-distinct sites (fractional):
Sc 0.0000 0.0000 0.2378 (multiplicity 6)
In 0.0000 0.0000 0.0000 (multiplicity 3)
Se 0.0000 0.0000 0.5000 (multiplicity 3)

Material: Tb2Ga9Ir3
Method: DFT, PBEsol
State: relaxed

Calculated values
- E_form (eV/atom) = -0.726
- energy (hartree per atom) = -0.209

a b c (Å): 12.934 7.502 9.383
angles (deg): 90.00 90.00 90.00
Space group Cmcm (No. 63)
Symmetry-distinct sites (fractional):
Tb 0.164 0.166 0.250 (multiplicity 8)
Ga 0.000 0.130 0.750 (multiplicity 4)
Ga 0.000 0.333 0.066 (multiplicity 8)
Ga 0.104 0.443 0.750 (multiplicity 8)
Ga 0.167 0.168 0.580 (multiplicity 16)
Ir 0.000 0.000 0.000 (multiplicity 4)
Ir 0.171 0.500 0.000 (multiplicity 8)